1.
Ca3TcO8 | PBE-GGA | optimized geometry

a b c (Å): 5.3284 5.3284 6.5793
angles (deg): 113.89 113.89 90.00
Last column: nearest neighbours and their distance in Å.
Element x y z (fractional)
1 Ca 0.7500 0.2500 0.5000  8 O 2.42
2 Ca 0.5000 0.5000 0.0000  8 O 2.43
3 Ca 0.2500 0.7500 0.5000  8 O 2.42
4 Tc 0.0000 0.0000 0.0000  8 O 2.04
5 O 0.3304 0.3304 0.2219  1 Tc 2.04
6 O 0.3304 0.8915 0.2219  1 Tc 2.04
7 O 0.1085 0.6696 0.7781  1 Tc 2.04
8 O 0.1085 0.1085 0.7781  1 Tc 2.04
9 O 0.8915 0.8915 0.2219  1 Tc 2.04
10 O 0.8915 0.3304 0.2219  1 Tc 2.04
11 O 0.6696 0.1085 0.7781  1 Tc 2.04
12 O 0.6696 0.6696 0.7781  1 Tc 2.04

## Properties
Energy (eV/atom): -6.228
V (Å³ per cell): 153
Energy relative to the elements, uncorrected (kJ/mol of formula units): -1804

2.
CaTc2O | PBE-GGA | optimized geometry

a b c (Å): 5.4549 5.4549 6.7029
angles (deg): 65.99 65.99 90.00
Last column: nearest neighbours and their distance in Å.
Element x y z (fractional)
1 Ca 0.0000 0.0000 0.0000  8 Tc 3.34
2 Ca 0.7500 0.2500 0.5000  8 Tc 3.34
3 Tc 0.3749 0.1250 0.2500  2 O 1.93
4 Tc 0.3751 0.6250 0.2500  2 O 1.93
5 Tc 0.3750 0.6251 0.7500  2 O 1.93
6 Tc 0.8750 0.6249 0.7500  2 O 1.93
7 O 0.5000 0.5000 0.0000  4 Tc 1.93
8 O 0.2500 0.7500 0.5000  4 Tc 1.93

## Properties
Energy (eV/atom): -6.753
V (Å³ per cell): 163
Energy relative to the elements, uncorrected (kJ/mol of formula units): 66

3.
CaTcO2 | PBE-GGA | optimized geometry

a b c (Å): 6.5769 6.5769 6.5769
angles (deg): 29.53 29.53 29.53
Last column: nearest neighbours and their distance in Å.
Element x y z (fractional)
1 Ca 0.5000 0.5000 0.5000  6 O 2.31
2 Tc 0.0000 0.0000 0.0000  2 O 1.89
3 O 0.9000 0.9000 0.9000  1 Tc 1.89
4 O 0.1000 0.1000 0.1000  1 Tc 1.89

## Properties
Energy (eV/atom): -7.141
E above lowest polymorph (kJ/mol of formula units): 0
V (Å³ per cell): 61
Energy relative to the elements, uncorrected (kJ/mol of formula units): -606

4.
CaTcO2 | PBE-GGA | optimized geometry

a b c (Å): 3.9871 3.9871 3.9871
angles (deg): 60.00 60.00 60.00
Last column: nearest neighbours and their distance in Å.
Element x y z (fractional)
1 Ca 0.0000 0.0000 0.0000  8 O 2.44
2 Tc 0.5000 0.5000 0.5000  8 O 2.44
3 O 0.2500 0.2500 0.2500  4 Tc 2.44, 4 Ca 2.44
4 O 0.7500 0.7500 0.7500  4 Tc 2.44, 4 Ca 2.44

## Properties
Energy (eV/atom): -6.588
E above lowest polymorph (kJ/mol of formula units): 213
V (Å³ per cell): 45
Energy relative to the elements, uncorrected (kJ/mol of formula units): -392

5.
Ca2TcO4 | PBE-GGA | optimized geometry

a b c (Å): 6.0206 5.7463 6.4214
angles (deg): 90.00 107.69 90.00
Last column: nearest neighbours and their distance in Å.
Element x y z (fractional)
1 Ca 0.6619 0.7500 0.0344  6 O 2.35-2.51
2 Ca 0.3381 0.2500 0.9656  6 O 2.35-2.51
3 Ca 0.2663 0.2500 0.4394  6 O 2.32-2.53
4 Ca 0.7337 0.7500 0.5606  6 O 2.32-2.53
5 Tc 0.1987 0.7500 0.1969  4 O 1.83-2.00
6 Tc 0.8013 0.2500 0.8031  4 O 1.83-2.00
7 O 0.4649 0.5276 0.2465  1 Tc 2.00
8 O 0.0200 0.7500 0.9106  1 Tc 1.83
9 O 0.9800 0.2500 0.0894  1 Tc 1.83
10 O 0.4649 0.9724 0.2465  1 Tc 2.00
11 O 0.0000 0.2500 0.6365  1 Tc 1.83
12 O 0.5351 0.0276 0.7535  1 Tc 2.00
13 O 0.5351 0.4724 0.7535  1 Tc 2.00
14 O 0.0000 0.7500 0.3635  1 Tc 1.83

## Properties
Energy (eV/atom): -6.952
E above lowest polymorph (kJ/mol of formula units): 161
V (Å³ per cell): 212
Energy relative to the elements, uncorrected (kJ/mol of formula units): -1395

6.
CaTcO2 | PBE-GGA | optimized geometry

a b c (Å): 4.6213 4.6213 6.4852
angles (deg): 69.13 69.13 90.00
Last column: nearest neighbours and their distance in Å.
Element x y z (fractional)
1 Ca 0.5000 0.5000 0.0000  4 O 2.33
2 Ca 0.2500 0.7500 0.5000  4 O 2.33
3 Tc 0.0000 0.0000 0.0000  4 O 2.00
4 Tc 0.7500 0.2500 0.5000  4 O 2.00
5 O 0.6914 0.1250 0.2500  2 Tc 2.00
6 O 0.0586 0.6250 0.2500  2 Tc 2.00
7 O 0.3750 0.3086 0.7500  2 Tc 2.00
8 O 0.8750 0.9414 0.7500  2 Tc 2.00

## Properties
Energy (eV/atom): -6.950
E above lowest polymorph (kJ/mol of formula units): 73
V (Å³ per cell): 120
Energy relative to the elements, uncorrected (kJ/mol of formula units): -532

7.
CaTc2O6 | PBE-GGA | optimized geometry

a b c (Å): 5.7075 7.6151 7.6151
angles (deg): 80.97 83.55 83.55
Last column: nearest neighbours and their distance in Å.
Element x y z (fractional)
1 Ca 0.2500 0.1175 0.8825  6 O 2.34-2.40
2 Ca 0.7500 0.8825 0.1175  6 O 2.34-2.40
3 Tc 0.0668 0.6425 0.8363  4 O 1.82-1.94
4 Tc 0.4332 0.1637 0.3575  4 O 1.82-1.94
5 Tc 0.9332 0.3575 0.1637  4 O 1.82-1.94
6 Tc 0.5668 0.8363 0.6425  4 O 1.82-1.94
7 O 0.3271 0.6936 0.6551  2 Tc 1.83-1.94
8 O 0.1729 0.3449 0.3064  2 Tc 1.83-1.94
9 O 0.6729 0.3064 0.3449  2 Tc 1.83-1.94
10 O 0.8271 0.6551 0.6936  2 Tc 1.83-1.94
11 O 0.6850 0.9365 0.4139  1 Tc 1.87
12 O 0.8150 0.5861 0.0635  1 Tc 1.87
13 O 0.3150 0.0635 0.5861  1 Tc 1.87
14 O 0.1850 0.4139 0.9365  1 Tc 1.87
15 O 0.1197 0.8306 0.9421  1 Tc 1.82
16 O 0.3803 0.0579 0.1694  1 Tc 1.82
17 O 0.8803 0.1694 0.0579  1 Tc 1.82
18 O 0.6197 0.9421 0.8306  1 Tc 1.82

## Properties
Energy (eV/atom): -7.550
V (Å³ per cell): 323
Energy relative to the elements, uncorrected (kJ/mol of formula units): -1492

8.
Ca2TcO4 | PBE-GGA | optimized geometry

a b c (Å): 3.8420 3.8420 6.7464
angles (deg): 73.46 73.46 90.00
Last column: nearest neighbours and their distance in Å.
Element x y z (fractional)
1 Ca 0.6511 0.6511 0.6978  1 O 2.21
2 Ca 0.3489 0.3489 0.3022  1 O 2.21
3 Tc 0.0000 0.0000 0.0000  6 O 1.92-2.10
4 O 0.8300 0.8300 0.3399  1 Tc 2.10, 1 Ca 2.21
5 O 0.1700 0.1700 0.6600  1 Tc 2.10, 1 Ca 2.21
6 O 0.0000 0.5000 0.0000  2 Tc 1.92
7 O 0.5000 0.0000 0.0000  2 Tc 1.92

## Properties
Energy (eV/atom): -7.141
E above lowest polymorph (kJ/mol of formula units): 34
V (Å³ per cell): 91
Energy relative to the elements, uncorrected (kJ/mol of formula units): -1523